1.
Ac3CdIr8 | Alexandria via LeMat-Bulk | PBE | optimized geometry; DFT formation energy = -0.376 eV/atom
1.0
2.7567 1.5916 9.0072
-2.7567 1.5916 9.0072
0.0000 -3.1831 9.0072
Ac Cd Ir
3 1 8
direct
0.0000 0.0000 0.0000
0.1274 0.1274 0.1274
0.6202 0.6202 0.6202
0.4968 0.4968 0.4968
0.0607 0.0607 0.5595
0.0607 0.5595 0.0607
0.0653 0.5629 0.5629
0.3123 0.3123 0.3123
0.5595 0.0607 0.0607
0.5629 0.0653 0.5629
0.5629 0.5629 0.0653
0.8124 0.8124 0.8124

2.
YTh5Ge6 | Alexandria via LeMat-Bulk | PBE | optimized geometry; DFT formation energy = -0.763 eV/atom
1.0
3.7086 -6.4188 0.0000
3.7086 6.4188 0.0000
-2.4711 0.0000 6.9867
Y Th Ge
1 5 6
direct
0.0000 0.0000 0.0000
0.1675 0.8325 0.5000
0.3336 0.6664 0.0000
0.5000 0.5000 0.5000
0.6664 0.3336 0.0000
0.8325 0.1675 0.5000
0.0825 0.4134 0.2478
0.2478 0.2478 0.7510
0.4134 0.0825 0.2478
0.5866 0.9175 0.7522
0.7522 0.7522 0.2490
0.9175 0.5866 0.7522

3.
GaPHPtS | Alexandria via LeMat-Bulk | PBE | optimized geometry; energy relative to the lowest polymorph listed for this composition = 66 meV/atom
1.0
3.9183 0.0000 0.0000
1.8894 3.4338 0.0000
0.7322 0.3471 7.3094
Ga P H Pt S
1 1 1 1 1
direct
0.0000 0.0000 0.0000
0.6367 0.6464 0.2485
0.2354 0.2236 0.6802
0.3094 0.3162 0.1759
0.0327 0.0211 0.6943

Number 1: M_tot 0.0 μB/cell, raw total energy -7.387 eV/atom. Number 2: M_tot 0.0 μB/cell, raw total energy -6.702 eV/atom. Number 3: M_tot 0.0 μB/cell, raw total energy -4.653 eV/atom.